[1]
The following is a DFT calculation (GGA-PBE) of a relaxed structure of FePBrCl2.

Values from the calculation:
- Energy above the lowest structure with this stoichiometry: 0.0 kJ/mol of formula units
- Final energy: -3.6133 eV per atom

Unit cell a=4.5747 b=4.5747 c=4.5631 alpha=90.00 beta=90.00 gamma=90.00
With the nearest neighbours (Å) after each atom.
Space group P4/mmm (No. 123)
Symmetry-distinct sites (fractional):
Fe (0.0000, 0.0000, 0.0000) [1 per cell]  2 P 2.28, 4 Cl 2.29
P (0.0000, 0.0000, 0.5000) [1 per cell]  2 Fe 2.28
Br (0.5000, 0.5000, 0.5000) [1 per cell]  8 Cl 3.23, 4 P 3.23
Cl (0.0000, 0.5000, 0.0000) [2 per cell]  2 Fe 2.29

---

[2]
The following is a DFT calculation (GGA-PBE) of a relaxed structure of K2Hf2Te6Au.

Values from the calculation:
- Final energy: -4.7201 eV per atom

Unit cell a=7.0977 b=13.0105 c=8.7935 alpha=90.00 beta=105.74 gamma=90.00
With the nearest neighbours (Å) after each atom.
Space group C2/m (No. 12)
Symmetry-distinct sites (fractional):
K (0.0000, 0.1555, 0.0000) [4 per cell]  6 Te 3.53-3.57
Hf (0.0000, 0.3274, 0.5000) [4 per cell]  6 Te 2.86-2.98
Te (0.2342, 0.5000, 0.6795) [4 per cell]  1 Au 2.77, 2 Hf 2.98
Te (0.2449, 0.1750, 0.7016) [8 per cell]  2 Hf 2.86-2.90, 1 Au 3.11
Au (0.0000, 0.0000, 0.5000) [2 per cell]  2 Te 2.77

---

[3]
The following is a DFT calculation (GGA-PBE) of a relaxed structure of KHgPbCl5.

Values from the calculation:
- Final energy: -2.9433 eV per atom

Unit cell a=9.2844 b=12.5905 c=10.3152 alpha=90.00 beta=113.01 gamma=90.00
With the nearest neighbours (Å) after each atom.
Space group C2/c (No. 15)
Symmetry-distinct sites (fractional):
K (0.0000, 0.1564, 0.2500) [4 per cell]  5 Cl 3.13-3.30
Hg (0.0000, 0.1808, 0.7500) [4 per cell]  4 Cl 2.53-2.56
Pb (0.0000, 0.5000, 0.0000) [4 per cell]  6 Cl 2.84-2.95
Cl (0.0000, 0.4048, 0.2500) [4 per cell]  2 Pb 2.84, 1 K 3.13
Cl (0.1287, 0.2917, 0.6204) [8 per cell]  1 Hg 2.53
Cl (0.1710, 0.0524, 0.9410) [8 per cell]  1 Hg 2.56

---

What are the ΔE_f (raw) values for these records? In order: 0.2344; -0.6993; -1.1507 eV per atom.